## LuUGa2 (PBE)

Data for an optimized crystal structure of LuUGa2.

Results
As for the symmetry: R-3m (166). Its total energy is -5.567 eV per atom.

abc: 3.1856 3.1856 9.9308
angles: 80.77 80.77 60.00
Last column: nearest neighbours and their distance in Å.
Atoms (fractional coordinates):
Lu 0.5000 0.5000 0.5000  6 Ga 3.01, 6 Lu 3.19
U 0.0000 0.0000 0.0000  6 Ga 3.10, 6 U 3.19
Ga 0.7519 0.7519 0.7444  3 Lu 3.01, 3 U 3.10, 6 Ga 3.19
Ga 0.2481 0.2481 0.2556  3 Lu 3.01, 3 U 3.10, 6 Ga 3.19


## CrReBAu (PBE)

Data for an optimized crystal structure of CrReBAu.

Results
As for the symmetry: Cm (8). Its total energy is -7.683 eV per atom.

abc: 4.6089 2.9269 8.8779
angles: 90.00 119.86 90.00
Last column: nearest neighbours and their distance in Å.
Atoms (fractional coordinates):
Re 0.9797 0.0000 0.2225  2 B 2.15
Re 0.9797 0.5000 0.7225  2 B 2.15
B 0.0884 0.0000 0.9208  2 Cr 2.06, 2 Re 2.15
B 0.0884 0.5000 0.4208  2 Cr 2.06, 2 Re 2.15
Au 0.6540 0.0000 0.4119  2 B 2.45, 1 Re 2.70, 1 Cr 2.71
Au 0.6540 0.5000 0.9119  2 B 2.45, 1 Re 2.70, 1 Cr 2.71
Cr 0.3420 0.0000 0.6027  2 B 2.06
Cr 0.3420 0.5000 0.1027  2 B 2.06


## LiBr3 (PBE)

Data for an optimized crystal structure of LiBr3.

Results
For the raw formation energy, the calculation gives -2.39 eV per formula unit. As for the symmetry: P2/m (10). Its total energy is -2.332 eV per atom.

abc: 6.2520 5.4085 5.3613
angles: 53.39 90.00 90.00
Last column: nearest neighbours and their distance in Å.
Atoms (fractional coordinates):
Br 0.0000 0.0379 0.0397  2 Br 2.53
Br 0.5000 0.7500 0.7500  2 Li 2.42
Br 0.0000 0.4621 0.4603  2 Br 2.53
Li 0.5000 0.2500 0.2500  2 Br 2.42